(1)
# LiCd2Co

An optimized crystal structure of LiCd2Co (GGA-PBEsol, the Alexandria database).

Computed properties:
* DFT formation energy: 56 meV per atom
* N(E_F): 2.77 states/eV/cell

Cell and atoms, written as POSCAR:
```
LiCd2Co
1.0
3.0476 0.0000 0.0000
0.0000 3.0476 0.0000
0.0000 0.0000 6.6567
Li Cd Co
1 2 1
direct
0.0000 0.0000 0.0000
0.5000 0.5000 0.2657
0.5000 0.5000 0.7343
0.0000 0.0000 0.5000
```



(2)
# Li3CdCo

An optimized crystal structure of Li3CdCo (GGA-PBEsol, the Alexandria database).

Computed properties:
* DFT formation energy: 577 meV per atom
* N(E_F): 5.80 states/eV/cell

Cell and atoms, written as POSCAR:
```
Li3CdCo
1.0
4.4981 0.0000 0.0000
0.0000 4.4981 0.0000
0.0000 0.0000 4.4981
Li Cd Co
3 1 1
direct
0.0000 0.0000 0.5000
0.0000 0.5000 0.0000
0.5000 0.0000 0.0000
0.5000 0.5000 0.5000
0.0000 0.0000 0.0000
```



(3)
# LiCd2Co

An optimized crystal structure of LiCd2Co (GGA-PBEsol, the Alexandria database).

Computed properties:
* DFT formation energy: 183 meV per atom
* N(E_F): 5.34 states/eV/cell

Cell and atoms, written as POSCAR:
```
LiCd2Co
1.0
3.1288 0.0000 0.0000
0.0000 3.1288 0.0000
0.0000 0.0000 6.3711
Li Cd Co
1 2 1
direct
0.0000 0.0000 0.0000
0.0000 0.0000 0.5691
0.5000 0.5000 0.2450
0.5000 0.5000 0.8048
```



no.,magnetization (μB/f.u.)
1,0.01
2,0.91
3,1.23